No. 1
Material: Sm12Ga6Sn
Method: DFT, PBE
State: optimized geometry

Values from the calculation:
For the total magnetic moment, the calculation gives 0.00 μB per cell.

abc: 10.2969 10.2969 10.2969
angles: 90.00 90.00 90.00
Last column: nearest neighbours and their distance in Å.
Space group Im-3 (No. 204)
Symmetry-distinct sites (fractional):
Sm: 0.0000 0.2946 0.1885 (multiplicity 24)  3 Ga 2.88-3.13
Ga: 0.0000 0.1213 0.5000 (multiplicity 12)  1 Ga 2.50
Sn: 0.0000 0.0000 0.0000 (multiplicity 2)  12 Sm 3.60



No. 2
Material: NbNiPd2
Method: DFT, PBE
State: optimized geometry

Values from the calculation:
For the total magnetic moment, the calculation gives 0.00 μB per cell. The energy above the most stable polymorph in this dataset is 557.6 meV per atom.

abc: 6.9603 6.9603 5.3228
angles: 90.00 90.00 90.00
Last column: nearest neighbours and their distance in Å.
Space group I-42d (No. 122)
Symmetry-distinct sites (fractional):
Nb: 0.0000 0.0000 0.0000 (multiplicity 4)  4 Pd 2.61, 2 Ni 2.66
Ni: 0.0000 0.0000 0.5000 (multiplicity 4)  4 Pd 2.49, 2 Nb 2.66
Pd: 0.2366 0.2500 0.6250 (multiplicity 8)  2 Ni 2.49, 2 Nb 2.61, 2 Pd 2.67



No. 3
Material: PmDy2AgHg4
Method: DFT, PBE
State: optimized geometry

Values from the calculation:
For the total magnetic moment, the calculation gives 0.00 μB per cell.

abc: 5.0858 5.0858 26.7658
angles: 90.00 90.00 120.00
Last column: nearest neighbours and their distance in Å.
Space group R-3m (No. 166, hexagonal axes)
Symmetry-distinct sites (fractional):
Pm: 0.0000 0.0000 0.0000 (multiplicity 3)  8 Hg 3.18-3.34
Dy: 0.0000 0.0000 0.2397 (multiplicity 6)  7 Hg 3.05-3.20
Ag: 0.0000 0.0000 0.5000 (multiplicity 3)  8 Hg 3.14-3.24
Hg: 0.0000 0.0000 0.1248 (multiplicity 6)  4 Dy 3.05-3.08, 3 Ag 3.14, 1 Pm 3.34
Hg: 0.0000 0.0000 0.3791 (multiplicity 6)  3 Pm 3.18, 3 Dy 3.20, 1 Ag 3.24



no.,formation enthalpy at 0 K (eV per atom)
1,-0.412
2,0.201
3,-0.383